(1)
! Mg2Re | the Alexandria database | PBE-GGA | relaxed; values from VASP
! * density: 7.2 g/cm3
! * volume: 18.11 A^3/atom
! * relative energy among the computed polymorphs: 142 meV per atom
! * E_form: 367 meV/atom
&SYSTEM
  ibrav = 0, nat = 6, ntyp = 2
/
ATOMIC_SPECIES
Re 186.21 Re.upf
Mg 24.30 Mg.upf
CELL_PARAMETERS angstrom
-1.3802 1.3802 14.2618
1.3802 -1.3802 14.2618
1.3802 1.3802 -14.2618
ATOMIC_POSITIONS crystal
Re 0.0000 0.0000 0.0000
Mg 0.5753 0.5753 0.0000
Mg 0.3253 0.8253 0.5000
Re 0.7500 0.2500 0.5000
Mg 0.4247 0.4247 0.0000
Mg 0.1747 0.6747 0.5000

(2)
! MgRe5 | the Alexandria database | PBE-GGA | relaxed; values from VASP
! * density: 17.4 g/cm3
! * volume: 15.22 A^3/atom
! * relative energy among the computed polymorphs: 0 meV per atom
! * E_form: 178 meV/atom
&SYSTEM
  ibrav = 0, nat = 6, ntyp = 2
/
ATOMIC_SPECIES
Re 186.21 Re.upf
Mg 24.30 Mg.upf
CELL_PARAMETERS angstrom
-6.1354 2.3460 -3.4116
4.2666 -4.1488 4.4012
-0.8566 2.7847 3.4554
ATOMIC_POSITIONS crystal
Re 0.7796 0.2204 0.5000
Re 0.0003 0.9997 0.0000
Re 0.3351 0.6649 0.0000
Mg 0.1117 0.8883 0.5000
Re 0.4385 0.5615 0.5000
Re 0.6683 0.3317 0.0000

(3)
! Mg2Re | the Alexandria database | PBE-GGA | relaxed; values from VASP
! * density: 5.8 g/cm3
! * volume: 22.38 A^3/atom
! * relative energy among the computed polymorphs: 921 meV per atom
! * E_form: 1146 meV/atom
&SYSTEM
  ibrav = 0, nat = 3, ntyp = 2
/
ATOMIC_SPECIES
Re 186.21 Re.upf
Mg 24.30 Mg.upf
CELL_PARAMETERS angstrom
4.5622 0.0000 0.0000
2.2811 3.9510 0.0000
2.2811 1.3170 3.7250
ATOMIC_POSITIONS crystal
Re 0.0000 0.0000 0.0000
Mg 0.7500 0.7500 0.7500
Mg 0.2500 0.2500 0.2500

DFT total energy (eV/cell)
-29.073 -62.764 -12.199